## 1
DFT (PBE) results for Zr3BN after structural relaxation.

abc: 3.3561 5.6378 8.3924
angles: 90.00 90.00 107.28
With the nearest neighbours (Å) after each atom.
Positions (direct):
Zr 0.1363 0.2730 0.0675  2 N 2.30
N 0.5000 0.0000 0.5000  6 Zr 2.25-2.30
N 0.5000 0.0000 0.0000  6 Zr 2.25-2.30
Zr 0.4234 0.8466 0.2500  2 N 2.25, 2 B 2.44
Zr 0.8637 0.7270 0.9325  2 N 2.30
B 0.7597 0.5182 0.2500  6 Zr 2.44-2.63
Zr 0.1363 0.2730 0.4325  2 N 2.30
Zr 0.5766 0.1534 0.7500  2 N 2.25, 2 B 2.44
Zr 0.8637 0.7270 0.5675  2 N 2.30
B 0.2403 0.4818 0.7500  6 Zr 2.44-2.63

Properties
**Theoretical density**: 6.5 g cm⁻³
**Crystal system**: monoclinic

## 2
DFT (PBE) results for Zr3BN after structural relaxation.

abc: 4.3555 4.3555 4.3555
angles: 90.00 90.00 90.00
With the nearest neighbours (Å) after each atom.
Positions (direct):
Zr 0.5000 0.0000 0.0000  2 N 2.18
Zr 0.0000 0.5000 0.0000  2 N 2.18
Zr 0.0000 0.0000 0.5000  2 N 2.18
N 0.0000 0.0000 0.0000  6 Zr 2.18
B 0.5000 0.5000 0.5000  12 Zr 3.08

Properties
**Theoretical density**: 6.0 g cm⁻³
**Crystal system**: cubic

Going by the energies, 1 is most stable and the next is 63.8 kJ/mol of atoms up.

## 1
DFT (PBE) results for ZrB3N after structural relaxation.

abc: 3.6364 3.6364 3.6364
angles: 90.00 90.00 90.00
With the nearest neighbours (Å) after each atom.
Positions (direct):
B 0.0000 0.5000 0.0000  2 N 1.82
N 0.0000 0.0000 0.0000  6 B 1.82
B 0.0000 0.0000 0.5000  2 N 1.82
B 0.5000 0.0000 0.0000  2 N 1.82
Zr 0.5000 0.5000 0.5000  12 B 2.57

Properties
**Theoretical density**: 4.8 g cm⁻³
**Crystal system**: cubic

## 2
DFT (PBE) results for ZrB3N after structural relaxation.

abc: 4.5978 4.5978 4.5978
angles: 90.00 90.00 90.00
With the nearest neighbours (Å) after each atom.
Positions (direct):
B 0.0000 0.0000 0.5000  2 Zr 2.30
B 0.0000 0.5000 0.0000  2 Zr 2.30
B 0.5000 0.0000 0.0000  2 Zr 2.30
N 0.5000 0.5000 0.5000  12 B 3.25
Zr 0.0000 0.0000 0.0000  6 B 2.30

Properties
**Theoretical density**: 2.4 g cm⁻³
**Crystal system**: cubic

Going by the energies, 1 is most stable and the next is 166.3 kJ/mol of atoms up.

## 1
DFT (PBE) results for NaB2 after structural relaxation.

abc: 2.6742 2.6742 5.1986
angles: 104.90 104.90 90.00
With the nearest neighbours (Å) after each atom.
Positions (direct):
B 0.2608 0.2608 0.5216  4 B 1.90
Na 0.0000 0.0000 0.0000  2 B 2.53, 4 Na 2.67
B 0.7392 0.7392 0.4784  4 B 1.90

Properties
**Theoretical density**: 2.1 g cm⁻³
**Crystal system**: tetragonal

## 2
DFT (PBE) results for NaB2 after structural relaxation.

abc: 3.0296 3.0296 8.6561
angles: 90.00 90.00 120.00
With the nearest neighbours (Å) after each atom.
Positions (direct):
B 0.6667 0.3333 0.7500  3 B 1.75
B 0.6667 0.3333 0.2500  3 B 1.75
B 0.3333 0.6667 0.2500  3 B 1.75
B 0.3333 0.6667 0.7500  3 B 1.75
Na 0.0000 0.0000 0.5000  12 B 2.78, 6 Na 3.03
Na 0.0000 0.0000 0.0000  12 B 2.78, 6 Na 3.03

Properties
**Theoretical density**: 2.2 g cm⁻³
**Crystal system**: hexagonal

Going by the energies, 2 is most stable and the next is 74.4 kJ/mol of atoms up.

## 1
DFT (PBE) results for Na3NbB after structural relaxation.

abc: 5.8540 5.8540 5.8540
angles: 90.00 90.00 90.00
With the nearest neighbours (Å) after each atom.
Positions (direct):
Na 0.5000 0.0000 0.0000  2 Nb 2.93
Na 0.0000 0.0000 0.5000  2 Nb 2.93
Na 0.0000 0.5000 0.0000  2 Nb 2.93
B 0.5000 0.5000 0.5000  12 Na 4.14
Nb 0.0000 0.0000 0.0000  6 Na 2.93

Properties
**Theoretical density**: 1.4 g cm⁻³
**Crystal system**: cubic

## 2
DFT (PBE) results for Na3NbB after structural relaxation.

abc: 4.9216 4.9216 4.9216
angles: 90.00 90.00 90.00
With the nearest neighbours (Å) after each atom.
Positions (direct):
Na 0.5000 0.0000 0.0000  2 B 2.46
Nb 0.5000 0.5000 0.5000  12 Na 3.48
Na 0.0000 0.5000 0.0000  2 B 2.46
Na 0.0000 0.0000 0.5000  2 B 2.46
B 0.0000 0.0000 0.0000  6 Na 2.46

Properties
**Theoretical density**: 2.4 g cm⁻³
**Crystal system**: cubic

Going by the energies, 2 is most stable and the next is 42.4 kJ/mol of atoms up.

## 1
DFT (PBE) results for NaNbB3 after structural relaxation.

abc: 3.9791 3.9791 3.9791
angles: 90.00 90.00 90.00
With the nearest neighbours (Å) after each atom.
Positions (direct):
B 0.5000 0.0000 0.0000  2 Na 1.99
Nb 0.5000 0.5000 0.5000  12 B 2.81
B 0.0000 0.5000 0.0000  2 Na 1.99
B 0.0000 0.0000 0.5000  2 Na 1.99
Na 0.0000 0.0000 0.0000  6 B 1.99

Properties
**Theoretical density**: 3.9 g cm⁻³
**Crystal system**: cubic

## 2
DFT (PBE) results for NaNbB3 after structural relaxation.

abc: 4.3490 4.3490 4.3490
angles: 90.00 90.00 90.00
With the nearest neighbours (Å) after each atom.
Positions (direct):
B 0.0000 0.0000 0.5000  2 Nb 2.17
B 0.5000 0.0000 0.0000  2 Nb 2.17
Nb 0.0000 0.0000 0.0000  6 B 2.17
B 0.0000 0.5000 0.0000  2 Nb 2.17
Na 0.5000 0.5000 0.5000  12 B 3.08

Properties
**Theoretical density**: 3.0 g cm⁻³
**Crystal system**: cubic

Going by the energies, 2 is most stable and the next is 122.3 kJ/mol of atoms up.

## 1
DFT (PBE) results for Na2ScNbB after structural relaxation.

abc: 4.7976 4.5710 4.7976
angles: 90.00 90.00 90.00
With the nearest neighbours (Å) after each atom.
Positions (direct):
B 0.0000 0.0000 0.0000  2 Nb 2.29, 4 Na 2.40
Sc 0.5000 0.5000 0.5000  8 Na 3.31, 4 Nb 3.39
Nb 0.0000 0.5000 0.0000  2 B 2.29
Na 0.5000 0.0000 0.0000  2 B 2.40
Na 0.0000 0.0000 0.5000  2 B 2.40

Properties
**Theoretical density**: 3.1 g cm⁻³
**Crystal system**: tetragonal

## 2
DFT (PBE) results for Na2ScNbB after structural relaxation.

abc: 5.5615 4.1191 5.5615
angles: 90.00 90.00 90.00
With the nearest neighbours (Å) after each atom.
Positions (direct):
Nb 0.0000 0.0000 0.0000  2 B 2.06
Sc 0.5000 0.5000 0.5000  8 Na 3.46
B 0.0000 0.5000 0.0000  2 Nb 2.06
Na 0.5000 0.0000 0.0000  2 Nb 2.78
Na 0.0000 0.0000 0.5000  2 Nb 2.78

Properties
**Theoretical density**: 2.5 g cm⁻³
**Crystal system**: tetragonal

Going by the energies, 1 is most stable and the next is 45.2 kJ/mol of atoms up.

## 1
DFT (PBE) results for NaNiB3 after structural relaxation.

abc: 3.8474 3.8474 3.8474
angles: 90.00 90.00 90.00
With the nearest neighbours (Å) after each atom.
Positions (direct):
Na 0.5000 0.5000 0.5000  12 B 2.72
B 0.0000 0.0000 0.5000  2 Ni 1.92
B 0.0000 0.5000 0.0000  2 Ni 1.92
B 0.5000 0.0000 0.0000  2 Ni 1.92
Ni 0.0000 0.0000 0.0000  6 B 1.92

Properties
**Theoretical density**: 3.3 g cm⁻³
**Crystal system**: cubic

## 2
DFT (PBE) results for NaNiB3 after structural relaxation.

abc: 4.0796 4.0796 4.0796
angles: 90.00 90.00 90.00
With the nearest neighbours (Å) after each atom.
Positions (direct):
B 0.0000 0.0000 0.5000  2 Na 2.04
Ni 0.5000 0.5000 0.5000  12 B 2.88
B 0.5000 0.0000 0.0000  2 Na 2.04
B 0.0000 0.5000 0.0000  2 Na 2.04
Na 0.0000 0.0000 0.0000  6 B 2.04

Properties
**Theoretical density**: 2.8 g cm⁻³
**Crystal system**: cubic

Going by the energies, 1 is most stable and the next is 208.3 kJ/mol of atoms up.